A relaxed structure of InTe2Au2, computed with PBEsol.

Values from the calculation:
As for the space-group type: No. 139. The calculation puts the total DFT energy (no corrections) at -3.416 eV per atom. As for the density of states at the Fermi level: 0.442 states/eV per atom.

abc: 6.8735 6.8735 6.8735
angles: 140.94 140.94 56.44
With the nearest neighbours (Å) after each atom.
Element x y z (fractional)
In  0.0000  0.0000  0.0000  8 Au 3.50, 8 Te 3.80
Te  0.2500  0.7500  0.5000  4 Au 2.87
Te  0.7500  0.2500  0.5000  4 Au 2.87
Au  0.3922  0.3922  0.0000  1 Au 2.61, 4 Te 2.87
Au  0.6078  0.6078  0.0000  1 Au 2.61, 4 Te 2.87

A relaxed structure of InTe2Au, computed with PBEsol.

Values from the calculation:
As for the space-group type: No. 123. The calculation puts the total DFT energy (no corrections) at -3.326 eV per atom. As for the density of states at the Fermi level: 0.593 states/eV per atom.

abc: 3.6352 3.6352 7.4419
angles: 90.00 90.00 90.00
With the nearest neighbours (Å) after each atom.
Element x y z (fractional)
In  0.0000  0.0000  0.0000  8 Te 3.32, 4 In 3.64
Te  0.5000  0.5000  0.2813  4 Au 3.04, 1 Te 3.26, 4 In 3.32
Te  0.5000  0.5000  0.7187  4 Au 3.04, 1 Te 3.26, 4 In 3.32
Au  0.0000  0.0000  0.5000  8 Te 3.04

A relaxed structure of InTeAu2, computed with PBEsol.

Values from the calculation:
As for the space-group type: No. 65. The calculation puts the total DFT energy (no corrections) at -3.565 eV per atom. As for the density of states at the Fermi level: 0.549 states/eV per atom. For the polymorph energy (0 for the lowest one), the calculation gives 113 meV/atom.

abc: 5.5951 5.5951 2.9342
angles: 90.00 90.00 90.40
With the nearest neighbours (Å) after each atom.
Element x y z (fractional)
In  0.0000  0.0000  0.0000  4 Au 2.80, 2 In 2.93
Te  0.5000  0.5000  0.0000  4 Au 2.80, 2 Te 2.93
Au  0.0000  0.5000  0.0000  2 In 2.80, 2 Te 2.80, 2 Au 2.93
Au  0.5000  0.0000  0.0000  2 In 2.80, 2 Te 2.80, 2 Au 2.93

A relaxed structure of InTe2Au, computed with PBEsol.

Values from the calculation:
As for the space-group type: No. 60. The calculation puts the total DFT energy (no corrections) at -3.655 eV per atom.

abc: 6.2009 12.6880 6.2317
angles: 90.00 90.00 90.00
With the nearest neighbours (Å) after each atom.
Element x y z (fractional)
In  0.0000  0.2484  0.2500  4 Te 2.85
In  0.0000  0.7516  0.7500  4 Te 2.85
In  0.5000  0.2516  0.7500  4 Te 2.85
In  0.5000  0.7484  0.2500  4 Te 2.85
Te  0.2101  0.1101  0.5438  1 Au 2.58, 2 In 2.85
Te  0.2101  0.8899  0.0438  1 Au 2.58, 2 In 2.85
Te  0.2899  0.3899  0.0438  1 Au 2.58, 2 In 2.85
Te  0.2899  0.6101  0.5438  1 Au 2.58, 2 In 2.85
Te  0.7101  0.3899  0.4562  1 Au 2.58, 2 In 2.85
Te  0.7101  0.6101  0.9562  1 Au 2.58, 2 In 2.85
Te  0.7899  0.1101  0.9562  1 Au 2.58, 2 In 2.85
Te  0.7899  0.8899  0.4562  1 Au 2.58, 2 In 2.85
Au  0.0000  0.4145  0.7500  2 Te 2.58
Au  0.0000  0.5855  0.2500  2 Te 2.58
Au  0.5000  0.0855  0.2500  2 Te 2.58
Au  0.5000  0.9145  0.7500  2 Te 2.58